Density functional theory data (PBE with a Hubbard U) for Li2TiFeO4 after structural relaxation.

The structure in POSCAR format:
```
Li2TiFeO4
1.0
5.199 -2.997 0.000
5.199 2.997 0.000
-1.768 0.000 4.936
Li Ti Fe O
4 2 2 8
direct
0.000 0.000 0.000
0.250 0.750 0.500
0.500 0.500 0.000
0.750 0.250 0.500
0.244 0.244 0.473
0.756 0.756 0.527
0.000 0.500 0.000
0.500 0.000 0.000
0.111 0.623 0.723
0.143 0.143 0.745
0.369 0.369 0.277
0.377 0.889 0.277
0.623 0.111 0.723
0.631 0.631 0.723
0.857 0.857 0.255
0.889 0.377 0.277
```

Values from the calculation:
- total moment (μB per atom) = 0.50
- density (g cm⁻³) = 3.92
- offset from the most stable computed form (eV/f.u.) = 0.010
- total DFT energy (no corrections) (Ry per atom) = -0.509
- symmetry = C2/m (12)